Compound: TlAsIr2
Source: the Alexandria database
Functional: PBE-GGA
Structure: optimized geometry

a = 5.3654 Å, b = 5.3654 Å, c = 5.3654 Å
α = 146.89°, β = 117.75°, γ = 72.35°
Last column: nearest neighbours and their distance in Å.
Fractional positions:
Tl (0.7500, 0.2500, 0.5000)  4 Ir 2.89, 2 Tl 3.06, 4 As 3.17
Ir (0.0331, 0.0331, 0.0000)  2 As 2.42
Ir (0.4669, 0.4669, 0.0000)  2 As 2.42
As (0.2500, 0.7500, 0.5000)  4 Ir 2.42

Summary:
**ΔH_f (0 K)**: 50.6 kJ per mole of atoms
**VASP energy**: -0.2080 Ha/atom
**Symmetry**: Immm
**Energy above the most stable polymorph in this dataset**: 280 meV per atom